# LaMgOs

A relaxed structure of LaMgOs (PBE, Alexandria).

Output
- magnetic moment (μB/atom) = 0.00
- DFT total energy (eV per atom) = -6.000
- calculated density (g/cm3) = 8.08
- N(E_F) (states/eV per cell) = 3.87
- ΔH_f (0 K) (eV/atom) = -0.08

The structure in POSCAR format:
```
LaMgOs
1.0
0.0004 3.1442 -3.2273
-3.2678 -1.5363 -4.6429
-7.3559 0.0668 0.0639
La Mg Os
2 2 2
direct
0.2165 0.8584 0.4628 La
0.3782 0.5348 0.1328 La
0.9988 0.2934 0.8840 Mg
0.5955 0.0997 0.7116 Mg
0.6612 0.9688 0.1439 Os
0.9333 0.4244 0.4516 Os
```